(1)
First-principles (GGA-PBE) data for a geometry-optimized SbBr structure, as listed in Alexandria via LeMat-Bulk.

POSCAR file:
```
SbBr
1.0
-3.273 2.744 0.080
-1.496 -1.677 -3.633
-4.243 -5.181 4.139
Sb Br
2 2
direct
0.250 0.750 0.000 Sb
0.750 0.250 0.000 Sb
0.750 0.750 0.692 Br
0.250 0.250 0.308 Br
```

Calculated values
energy relative to the elements, uncorrected	-0.02	eV per atom
relative energy among the computed polymorphs	28.3	kJ/mol of atoms
M_tot	0.000	μB/atom

---

(2)
First-principles (GGA-PBE) data for a geometry-optimized SbBr3 structure, as listed in Alexandria via LeMat-Bulk.

POSCAR file:
```
SbBr3
1.0
-0.634 12.361 4.829
-0.822 10.745 7.771
2.178 11.428 6.417
Br Sb
3 1
direct
0.931 0.931 0.931 Br
0.500 0.500 0.500 Br
0.069 0.069 0.069 Br
0.000 0.000 0.000 Sb
```

Calculated values
energy relative to the elements, uncorrected	0.13	eV per atom
M_tot	0.000	μB/atom

---

(3)
First-principles (GGA-PBE) data for a geometry-optimized SbBr3 structure, as listed in Alexandria via LeMat-Bulk.

POSCAR file:
```
SbBr3
1.0
-3.678 0.144 -0.545
2.025 -2.033 -2.368
-1.294 -8.765 6.420
Br Sb
3 1
direct
0.000 0.000 0.060 Br
0.000 0.000 0.440 Br
0.500 0.500 0.750 Br
0.500 0.500 0.250 Sb
```

Calculated values
energy relative to the elements, uncorrected	-0.01	eV per atom
M_tot	0.202	μB/atom

---

(4)
First-principles (GGA-PBE) data for a geometry-optimized SbBr3 structure, as listed in Alexandria via LeMat-Bulk.

POSCAR file:
```
SbBr3
1.0
-1.908 3.296 0.410
-3.271 -1.783 -0.890
-1.082 -1.494 6.971
Br Sb
3 1
direct
0.500 0.500 0.250 Br
0.000 0.000 0.526 Br
0.000 0.000 0.974 Br
0.500 0.500 0.750 Sb
```

Calculated values
energy relative to the elements, uncorrected	0.06	eV per atom
M_tot	0.000	μB/atom

---

(5)
First-principles (GGA-PBE) data for a geometry-optimized SbBr structure, as listed in Alexandria via LeMat-Bulk.

POSCAR file:
```
SbBr
1.0
-9.771 -1.129 -3.026
3.103 -0.605 -9.793
0.484 -5.514 0.494
Br Sb
8 8
direct
0.746 0.070 0.500 Br
0.070 0.254 0.500 Br
0.754 0.430 0.000 Br
0.254 0.930 0.500 Br
0.930 0.746 0.500 Br
0.570 0.754 0.000 Br
0.246 0.570 0.000 Br
0.430 0.246 0.000 Br
0.449 0.304 0.500 Sb
0.804 0.051 0.000 Sb
0.949 0.804 0.000 Sb
0.304 0.551 0.500 Sb
0.196 0.949 0.000 Sb
0.551 0.696 0.500 Sb
0.696 0.449 0.500 Sb
0.051 0.196 0.000 Sb
```

Calculated values
energy relative to the elements, uncorrected	-0.27	eV per atom
relative energy among the computed polymorphs	4.8	kJ/mol of atoms
M_tot	0.000	μB/atom

---

(6)
First-principles (GGA-PBE) data for a geometry-optimized Sb4Br5 structure, as listed in Alexandria via LeMat-Bulk.

POSCAR file:
```
Sb4Br5
1.0
-5.737 5.737 1.933
5.737 -5.737 1.933
5.737 5.737 -1.933
Sb Br
4 5
direct
0.000 0.651 0.651 Sb
0.349 0.000 0.349 Sb
0.651 0.000 0.651 Sb
0.000 0.349 0.349 Sb
0.337 0.337 0.674 Br
0.663 0.337 0.000 Br
0.663 0.663 0.326 Br
0.000 0.000 0.000 Br
0.337 0.663 0.000 Br
```

Calculated values
energy relative to the elements, uncorrected	0.15	eV per atom
M_tot	0.159	μB/atom

---

(7)
First-principles (GGA-PBE) data for a geometry-optimized SbBr structure, as listed in Alexandria via LeMat-Bulk.

POSCAR file:
```
SbBr
1.0
7.726 0.079 -0.020
5.144 5.765 0.020
-6.128 -3.597 3.033
Br Sb
2 2
direct
0.998 0.998 0.000 Br
0.752 0.252 0.500 Br
0.297 0.797 0.500 Sb
0.453 0.453 0.000 Sb
```

Calculated values
energy relative to the elements, uncorrected	-0.08	eV per atom
relative energy among the computed polymorphs	22.8	kJ/mol of atoms
M_tot	0.000	μB/atom

---

(8)
First-principles (GGA-PBE) data for a geometry-optimized Sb3Br structure, as listed in Alexandria via LeMat-Bulk.

POSCAR file:
```
Sb3Br
1.0
-5.509 -2.128 -3.174
-5.627 -1.849 3.141
4.562 4.814 -0.982
Sb Br
3 1
direct
0.287 0.787 0.500 Sb
0.713 0.213 0.500 Sb
0.500 0.500 0.000 Sb
0.000 0.000 0.000 Br
```

Calculated values
energy relative to the elements, uncorrected	0.15	eV per atom
relative energy among the computed polymorphs	13.1	kJ/mol of atoms
M_tot	0.000	μB/atom

---

(9)
First-principles (GGA-PBE) data for a geometry-optimized SbBr3 structure, as listed in Alexandria via LeMat-Bulk.

POSCAR file:
```
SbBr3
1.0
4.625 0.000 0.000
0.000 4.626 0.000
0.000 0.000 6.844
Br Sb
3 1
direct
0.500 0.000 0.434 Br
0.500 0.500 0.002 Br
0.000 0.000 0.002 Br
0.000 0.500 0.229 Sb
```

Calculated values
energy relative to the elements, uncorrected	-0.25	eV per atom
M_tot	0.000	μB/atom

---

(10)
First-principles (GGA-PBE) data for a geometry-optimized SbBr structure, as listed in Alexandria via LeMat-Bulk.

POSCAR file:
```
SbBr
1.0
4.846 0.000 0.000
-2.423 4.197 0.000
0.000 0.000 9.894
Sb Br
2 2
direct
0.333 0.667 0.755 Sb
0.667 0.333 0.255 Sb
0.333 0.667 0.327 Br
0.667 0.333 0.827 Br
```

Calculated values
energy relative to the elements, uncorrected	0.53	eV per atom
relative energy among the computed polymorphs	81.5	kJ/mol of atoms
M_tot	0.000	μB/atom

---

(11)
First-principles (GGA-PBE) data for a geometry-optimized SbBr structure, as listed in Alexandria via LeMat-Bulk.

POSCAR file:
```
SbBr
1.0
5.491 0.015 0.010
4.386 3.303 0.010
4.386 1.474 2.956
Br Sb
1 1
direct
0.000 0.000 0.000 Br
0.500 0.500 0.500 Sb
```

Calculated values
energy relative to the elements, uncorrected	0.10	eV per atom
relative energy among the computed polymorphs	39.6	kJ/mol of atoms
M_tot	0.000	μB/atom

---

(12)
First-principles (GGA-PBE) data for a geometry-optimized SbBr structure, as listed in Alexandria via LeMat-Bulk.

POSCAR file:
```
SbBr
1.0
5.279 0.000 0.000
2.640 4.572 0.000
2.640 1.524 4.310
Br Sb
2 2
direct
0.000 0.000 0.000 Br
0.250 0.250 0.250 Br
0.500 0.500 0.500 Sb
0.750 0.750 0.750 Sb
```

Calculated values
energy relative to the elements, uncorrected	0.04	eV per atom
relative energy among the computed polymorphs	33.9	kJ/mol of atoms
M_tot	0.000	μB/atom

---

(13)
First-principles (GGA-PBE) data for a geometry-optimized SbBr2 structure, as listed in Alexandria via LeMat-Bulk.

POSCAR file:
```
SbBr2
1.0
1.928 7.920 0.043
-1.928 7.920 0.043
0.000 5.417 7.873
Br Sb
4 2
direct
0.466 0.466 0.757 Br
0.785 0.785 0.259 Br
0.215 0.215 0.741 Br
0.534 0.534 0.243 Br
0.185 0.185 0.181 Sb
0.815 0.815 0.819 Sb
```

Calculated values
energy relative to the elements, uncorrected	-0.33	eV per atom
relative energy among the computed polymorphs	11.8	kJ/mol of atoms
M_tot	0.000	μB/atom

---

(14)
First-principles (GGA-PBE) data for a geometry-optimized Sb5Br3 structure, as listed in Alexandria via LeMat-Bulk.

POSCAR file:
```
Sb5Br3
1.0
4.273 -4.466 0.000
4.273 4.466 0.000
0.000 0.000 6.224
Sb Br
5 3
direct
0.836 0.836 0.500 Sb
0.000 0.500 0.000 Sb
0.164 0.164 0.500 Sb
0.500 0.000 0.000 Sb
0.000 0.000 0.000 Sb
0.500 0.500 0.000 Br
0.708 0.292 0.500 Br
0.292 0.708 0.500 Br
```

Calculated values
energy relative to the elements, uncorrected	0.13	eV per atom
relative energy among the computed polymorphs	27.0	kJ/mol of atoms
M_tot	0.000	μB/atom

---

(15)
First-principles (GGA-PBE) data for a geometry-optimized SbBr2 structure, as listed in Alexandria via LeMat-Bulk.

POSCAR file:
```
SbBr2
1.0
5.081 0.000 0.000
-2.540 4.400 0.000
0.000 0.000 3.777
Sb Br
1 2
direct
0.000 0.000 0.000 Sb
0.333 0.667 0.223 Br
0.667 0.333 0.777 Br
```

Calculated values
energy relative to the elements, uncorrected	-0.17	eV per atom
relative energy among the computed polymorphs	27.6	kJ/mol of atoms
M_tot	0.000	μB/atom

---

(16)
First-principles (GGA-PBE) data for a geometry-optimized Sb2Br9 structure, as listed in Alexandria via LeMat-Bulk.

POSCAR file:
```
Sb2Br9
1.0
7.634 0.000 0.000
-3.817 6.611 0.000
0.000 0.000 9.664
Br Sb
9 2
direct
0.663 0.831 0.319 Br
0.000 0.500 0.000 Br
0.500 0.000 0.000 Br
0.831 0.663 0.681 Br
0.831 0.169 0.681 Br
0.169 0.831 0.319 Br
0.337 0.169 0.681 Br
0.169 0.337 0.319 Br
0.500 0.500 0.000 Br
0.667 0.333 0.815 Sb
0.333 0.667 0.185 Sb
```

Calculated values
energy relative to the elements, uncorrected	-0.32	eV per atom
M_tot	0.000	μB/atom

---

(17)
First-principles (GGA-PBE) data for a geometry-optimized SbBr structure, as listed in Alexandria via LeMat-Bulk.

POSCAR file:
```
SbBr
1.0
3.633 -0.038 0.000
-1.921 3.084 0.000
0.000 0.000 10.860
Sb Br
2 2
direct
0.500 0.500 0.251 Sb
0.000 0.000 0.499 Sb
0.000 0.000 0.043 Br
0.500 0.500 0.707 Br
```

Calculated values
energy relative to the elements, uncorrected	0.02	eV per atom
relative energy among the computed polymorphs	32.6	kJ/mol of atoms
M_tot	0.000	μB/atom

---

(18)
First-principles (GGA-PBE) data for a geometry-optimized SbBr structure, as listed in Alexandria via LeMat-Bulk.

POSCAR file:
```
SbBr
1.0
-2.923 -1.210 -1.004
2.895 -4.975 -2.431
-0.730 -3.561 6.417
Br Sb
2 2
direct
0.000 0.500 0.369 Br
0.000 0.000 0.964 Br
0.500 0.500 0.682 Sb
0.500 0.000 0.651 Sb
```

Calculated values
energy relative to the elements, uncorrected	-0.02	eV per atom
relative energy among the computed polymorphs	28.4	kJ/mol of atoms
M_tot	0.000	μB/atom

---

(19)
First-principles (GGA-PBE) data for a geometry-optimized Sb3Br structure, as listed in Alexandria via LeMat-Bulk.

POSCAR file:
```
Sb3Br
1.0
5.297 0.026 0.208
3.721 3.769 0.208
3.444 1.449 7.130
Sb Br
3 1
direct
0.281 0.281 0.331 Sb
0.719 0.719 0.669 Sb
0.500 0.500 0.500 Sb
0.000 0.000 0.000 Br
```

Calculated values
energy relative to the elements, uncorrected	0.03	eV per atom
relative energy among the computed polymorphs	1.7	kJ/mol of atoms
M_tot	0.000	μB/atom

---

(20)
First-principles (GGA-PBE) data for a geometry-optimized SbBr structure, as listed in Alexandria via LeMat-Bulk.

POSCAR file:
```
SbBr
1.0
-2.930 -3.037 -1.216
1.421 0.374 -4.359
7.311 -5.508 -3.865
Sb Br
2 2
direct
0.000 0.657 0.378 Sb
0.500 0.093 0.372 Sb
0.000 0.987 0.070 Br
0.500 0.763 0.680 Br
```

Calculated values
energy relative to the elements, uncorrected	-0.31	eV per atom
relative energy among the computed polymorphs	0.0	kJ/mol of atoms
M_tot	0.000	μB/atom